This record from the Alexandria database describes CeZr2Pd after structural relaxation. The functional is PBE-GGA.

Total DFT energy (no corrections) = -7.3158 eV per atom
Energy of formation = -0.260 eV per atom
E above lowest polymorph = 0.000 eV/f.u.

The structure in extended XYZ format:
```
4
Lattice="3.3814 0.0000 0.0000 0.0000 3.3814 0.0000 0.0000 0.0000 7.7082" Properties=species:S:1:pos:R:3 pbc="T T T"
Ce 0.0000 0.0000 0.0000
Zr 1.6907 1.6907 2.1988
Zr 1.6907 1.6907 5.5094
Pd 0.0000 0.0000 3.8541
```